(1)
Below is V2NiSe4 after structural relaxation, with properties calculated at the PBE level.

For the uncorrected formation energy, the calculation gives -0.554 eV per atom. For the total energy, the calculation gives -83.666 eV per cell. The calculation puts the relative energy among the computed polymorphs at 0.041 eV/atom. For the calculated density, the calculation gives 5.8 g/cm³. The magnetization comes out at 2.31 μB per formula unit.

Cell lengths 7.2850, 7.2850, 7.2905 Å; angles 59.99, 59.99, 89.95 degrees
Last column: nearest neighbours and their distance in Å.
Positions (direct):
Se1 0.7465 0.7534 0.0075  1 Ni 2.30, 3 V 2.54
Se2 0.2609 0.7539 0.4926  1 Ni 2.30, 3 V 2.54
Se3 0.2539 0.7609 0.9926  1 Ni 2.30, 3 V 2.54
Se4 0.2535 0.2466 0.9926  1 Ni 2.30, 3 V 2.54
Se5 0.7391 0.2461 0.5074  1 Ni 2.30, 3 V 2.54
Se6 0.7461 0.2391 0.0074  1 Ni 2.30, 3 V 2.54
Se7 0.2534 0.2465 0.5075  1 Ni 2.30, 3 V 2.54
Se8 0.7466 0.7535 0.4926  1 Ni 2.30, 3 V 2.54
Ni1 0.1249 0.3751 0.2500  4 Se 2.30
Ni2 0.8751 0.6249 0.7500  4 Se 2.30
V1 0.0000 0.0000 0.0000  6 Se 2.54
V2 0.5000 0.0000 0.0000  6 Se 2.54
V3 0.5000 0.0000 0.5000  6 Se 2.54
V4 0.5000 0.5000 0.5000  6 Se 2.54

---

(2)
Below is ThTlNi after structural relaxation, with properties calculated at the PBE level.

For the total energy, the calculation gives -16.024 eV per cell. For the calculated density, the calculation gives 11.9 g/cm³. As for the energy of formation: -0.15 eV/atom. The magnetization comes out at 0.00 μB per formula unit.

Cell lengths 3.6617, 4.6679, 4.6679 Å; angles 120.00, 90.00, 90.00 degrees
Last column: nearest neighbours and their distance in Å.
Positions (direct):
Tl1 0.1668 0.0000 0.0000  3 Ni 2.70
Th1 0.6668 0.6667 0.3333  6 Ni 3.26, 6 Tl 3.26
Ni1 0.1664 0.3333 0.6667  3 Tl 2.70

---

(3)
Below is MgAl2Mo after structural relaxation, with properties calculated at the PBE level.

For the total energy, the calculation gives -20.479 eV per cell. For the calculated density, the calculation gives 4.5 g/cm³. As for the energy of formation: -0.14 eV/atom. The magnetization comes out at 0.00 μB per formula unit.

Cell lengths 5.1633, 5.1633, 5.1633 Å; angles 136.63, 136.63, 63.01 degrees
Last column: nearest neighbours and their distance in Å.
Positions (direct):
Al1 0.0000 0.0000 0.0000  4 Mg 2.70, 4 Al 2.91, 4 Mo 2.91
Al2 0.2500 0.7500 0.5000  4 Mo 2.70, 4 Mg 2.91, 4 Al 2.91
Mg1 0.5000 0.5000 0.0000  8 Al 2.70-2.91, 4 Mo 2.91
Mo1 0.7500 0.2500 0.5000  8 Al 2.70-2.91, 4 Mg 2.91

---

(4)
Below is Rb4Nd3ScO8 after structural relaxation, with properties calculated at the PBE level.

For the uncorrected formation energy, the calculation gives -2.544 eV per atom. For the total energy, the calculation gives -104.883 eV per cell. For the calculated density, the calculation gives 5.4 g/cm³. The magnetization comes out at 0.00 μB per formula unit.

Cell lengths 7.1573, 7.7687, 7.1572 Å; angles 117.42, 120.00, 90.00 degrees
Last column: nearest neighbours and their distance in Å.
Positions (direct):
Rb1 0.0000 0.0000 0.5000  6 O 2.93-2.94
Rb2 0.5000 0.0000 0.0000  6 O 3.06
Rb3 0.5000 0.0000 0.5000  6 O 2.93-2.94
Rb4 0.0000 0.0000 0.0000  6 O 2.93-2.94
O1 0.7851 0.3244 0.5701  1 Sc 2.26, 2 Nd 2.43
O2 0.7456 0.6756 0.9606  1 Sc 2.26, 2 Nd 2.43
O3 0.2149 0.6756 0.9606  1 Sc 2.26, 2 Nd 2.43
O4 0.2724 0.3171 0.5448  3 Nd 2.39
O5 0.7276 0.6829 0.4552  3 Nd 2.39
O6 0.2149 0.6756 0.4299  1 Sc 2.26, 2 Nd 2.43
O7 0.7851 0.3244 0.0394  1 Sc 2.26, 2 Nd 2.43
O8 0.2544 0.3244 0.0394  1 Sc 2.26, 2 Nd 2.43
Nd1 0.5000 0.5000 0.5000  6 O 2.39-2.43
Nd2 0.0000 0.5000 0.5000  6 O 2.39-2.43
Nd3 0.5000 0.5000 0.0000  6 O 2.39-2.43
Sc1 0.0000 0.5000 0.0000  6 O 2.26